Record 1
# LiCe2Os, optimized geometry, DFT PBE
data_LiCe2Os
_symmetry_space_group_name_H-M 'F m -3 m'
_symmetry_Int_Tables_number 225
_symmetry_space_group_name_Hall '-F 4 2 3'
_cell_length_a 7.0073
_cell_length_b 7.0073
_cell_length_c 7.0073
_cell_angle_alpha 90.00
_cell_angle_beta 90.00
_cell_angle_gamma 90.00
loop_
_atom_site_label
_atom_site_type_symbol
_atom_site_fract_x
_atom_site_fract_y
_atom_site_fract_z
_atom_site_occupancy
Li1 Li 0.0000 0.0000 0.0000 1
Ce1 Ce 0.2500 0.2500 0.2500 1
Os1 Os 0.0000 0.0000 0.5000 1
# - Energy of formation from the pure elements: -0.056 eV per atom
# - ρ: 9.216 g/cm³
# - Total moment: 0.0 μB per cell

---

Record 2
# TaSbW2, optimized geometry, DFT PBE
data_TaSbW2
_symmetry_space_group_name_H-M 'C m m 2'
_symmetry_Int_Tables_number 35
_symmetry_space_group_name_Hall 'C 2 -2'
_cell_length_a 3.3776
_cell_length_b 4.8401
_cell_length_c 8.8762
_cell_angle_alpha 90.00
_cell_angle_beta 90.00
_cell_angle_gamma 90.00
loop_
_atom_site_label
_atom_site_type_symbol
_atom_site_fract_x
_atom_site_fract_y
_atom_site_fract_z
_atom_site_occupancy
Ta1 Ta 0.0000 0.0000 0.0000 1
Sb1 Sb 0.0000 0.5000 0.2617 1
W1 W 0.0000 0.0000 0.5218 1
W2 W 0.0000 0.5000 0.7544 1
# - ΔE_f (raw): 0.385 eV per atom
# - ρ: 15.343 g/cm³
# - Total moment: 0.0 μB per cell